Density functional theory data (GGA-PBE) for crystalline GaCuMoRu at its relaxed geometry.

Unit cell a=4.3157 b=4.3157 c=4.3157 alpha=60.00 beta=60.00 gamma=60.00
Last column: nearest neighbours and their distance in Å.
Atoms (fractional coordinates):
Ga: 0.0000 0.0000 0.0000  4 Ru 2.64, 4 Cu 2.64
Cu: 0.2500 0.2500 0.2500  4 Mo 2.64, 4 Ga 2.64
Mo: 0.5000 0.5000 0.5000  4 Ru 2.64, 4 Cu 2.64
Ru: 0.7500 0.7500 0.7500  4 Mo 2.64, 4 Ga 2.64

Summary:
**Total magnetization**: 0.000 μB/cell
**Space-group type**: F-43m
**Energy relative to the elements**: -0.008 eV/atom
**Mass density**: 9.6 g cm⁻³
**DOS(E_F)**: 0.8 states/eV/f.u.